Entry 1:
DFT (PBE-GGA) results for crystalline SnRuN3 at its relaxed geometry.

Output
ΔE_f (raw) ... 1068 meV per atom
Total moment ... 0.0 μB per cell

CIF file:
```
data_SnRuN3
_chemical_formula_sum 'Sn1 Ru1 N3'
_symmetry_space_group_name_H-M 'P m -3 m'
_symmetry_Int_Tables_number 221
_symmetry_space_group_name_Hall '-P 4 2 3'
_cell_length_a 3.9972
_cell_length_b 3.9972
_cell_length_c 3.9972
_cell_angle_alpha 90.00
_cell_angle_beta 90.00
_cell_angle_gamma 90.00
loop_
_atom_site_label
_atom_site_fract_x
_atom_site_fract_y
_atom_site_fract_z
Sn1 0.0000 0.0000 0.0000
Ru1 0.5000 0.5000 0.5000
N1 0.0000 0.5000 0.5000
```

Entry 2:
DFT (PBE-GGA) results for crystalline Sn3RuN at its relaxed geometry.

Output
Polymorph energy (0 for the lowest one) ... 0.00 kJ per mole of atoms
ΔE_f (raw) ... 765 meV per atom
Total moment ... 0.0 μB per cell

CIF file:
```
data_Sn3RuN
_chemical_formula_sum 'Sn3 Ru1 N1'
_symmetry_space_group_name_H-M 'P m -3 m'
_symmetry_Int_Tables_number 221
_symmetry_space_group_name_Hall '-P 4 2 3'
_cell_length_a 4.6268
_cell_length_b 4.6268
_cell_length_c 4.6268
_cell_angle_alpha 90.00
_cell_angle_beta 90.00
_cell_angle_gamma 90.00
loop_
_atom_site_label
_atom_site_fract_x
_atom_site_fract_y
_atom_site_fract_z
Sn1 0.0000 0.0000 0.5000
Ru1 0.5000 0.5000 0.5000
N1 0.0000 0.0000 0.0000
```

Entry 3:
DFT (PBE-GGA) results for crystalline Sr2SnRuN at its relaxed geometry.

Output
ΔE_f (raw) ... -421 meV per atom
Total moment ... 0.0 μB per cell

CIF file:
```
data_Sr2SnRuN
_chemical_formula_sum 'Sr2 Sn1 Ru1 N1'
_symmetry_space_group_name_H-M 'P 4/m m m'
_symmetry_Int_Tables_number 123
_symmetry_space_group_name_Hall '-P 4 2'
_cell_length_a 5.5539
_cell_length_b 5.5539
_cell_length_c 3.8329
_cell_angle_alpha 90.00
_cell_angle_beta 90.00
_cell_angle_gamma 90.00
loop_
_atom_site_label
_atom_site_fract_x
_atom_site_fract_y
_atom_site_fract_z
Sr1 0.0000 0.5000 0.0000
Sn1 0.0000 0.0000 0.5000
Ru1 0.5000 0.5000 0.5000
N1 0.5000 0.5000 0.0000
```

Entry 4:
DFT (PBE-GGA) results for crystalline TcSnRuN2 at its relaxed geometry.

Output
ΔE_f (raw) ... 772 meV per atom
Total moment ... 0.0 μB per cell

CIF file:
```
data_TcSnRuN2
_chemical_formula_sum 'Tc1 Sn1 Ru1 N2'
_symmetry_space_group_name_H-M 'P 4/m m m'
_symmetry_Int_Tables_number 123
_symmetry_space_group_name_Hall '-P 4 2'
_cell_length_a 3.8075
_cell_length_b 3.8075
_cell_length_c 5.4463
_cell_angle_alpha 90.00
_cell_angle_beta 90.00
_cell_angle_gamma 90.00
loop_
_atom_site_label
_atom_site_fract_x
_atom_site_fract_y
_atom_site_fract_z
Tc1 0.0000 0.0000 0.0000
Sn1 0.5000 0.5000 0.5000
Ru1 0.0000 0.0000 0.5000
N1 0.0000 0.5000 0.0000
```

Entry 5:
DFT (PBE-GGA) results for crystalline Tc2SnRuN at its relaxed geometry.

Output
ΔE_f (raw) ... 54 meV per atom
Total moment ... 0.0 μB per cell

CIF file:
```
data_Tc2SnRuN
_chemical_formula_sum 'Tc2 Sn1 Ru1 N1'
_symmetry_space_group_name_H-M 'P 4/m m m'
_symmetry_Int_Tables_number 123
_symmetry_space_group_name_Hall '-P 4 2'
_cell_length_a 4.1084
_cell_length_b 4.1084
_cell_length_c 4.1328
_cell_angle_alpha 90.00
_cell_angle_beta 90.00
_cell_angle_gamma 90.00
loop_
_atom_site_label
_atom_site_fract_x
_atom_site_fract_y
_atom_site_fract_z
Tc1 0.0000 0.5000 0.0000
Sn1 0.0000 0.0000 0.5000
Ru1 0.5000 0.5000 0.5000
N1 0.5000 0.5000 0.0000
```

Entry 6:
DFT (PBE-GGA) results for crystalline Sr8Ru3N8 at its relaxed geometry.

Output
ΔE_f (raw) ... -534 meV per atom
Total moment ... 4.4 μB per cell

CIF file:
```
data_Sr8Ru3N8
_chemical_formula_sum 'Sr16 Ru6 N16'
_symmetry_space_group_name_H-M 'C 1 2/m 1'
_symmetry_Int_Tables_number 12
_cell_length_a 19.0702
_cell_length_b 5.3601
_cell_length_c 7.6214
_cell_angle_alpha 90.00
_cell_angle_beta 105.69
_cell_angle_gamma 90.00
loop_
_symmetry_equiv_pos_as_xyz
'x,y,z'
'-x,-y,-z'
'-x,y,-z'
'x,-y,z'
'x+1/2,y+1/2,z'
'-x+1/2,-y+1/2,-z'
'-x+1/2,y+1/2,-z'
'x+1/2,-y+1/2,z'
loop_
_atom_site_label
_atom_site_fract_x
_atom_site_fract_y
_atom_site_fract_z
Sr1 0.0251 0.0000 0.2572
Sr2 0.1004 0.5000 0.9569
Sr3 0.1666 0.5000 0.4698
Sr4 0.2002 0.0000 0.8021
Ru1 0.0000 0.5000 0.5000
Ru2 0.1860 0.0000 0.2057
N1 0.0253 0.5000 0.2838
N2 0.1005 0.0000 0.0025
N3 0.1758 0.0000 0.4412
N4 0.2203 0.5000 0.8310
```

Entry 7:
DFT (PBE-GGA) results for crystalline Sr4RuN4 at its relaxed geometry.

Output
ΔE_f (raw) ... -426 meV per atom
Total moment ... 0.0 μB per cell

CIF file:
```
data_Sr4RuN4
_chemical_formula_sum 'Sr8 Ru2 N8'
_symmetry_space_group_name_H-M 'P -1'
_symmetry_Int_Tables_number 2
_cell_length_a 6.3987
_cell_length_b 6.4764
_cell_length_c 9.0152
_cell_angle_alpha 71.30
_cell_angle_beta 80.76
_cell_angle_gamma 69.74
loop_
_symmetry_equiv_pos_as_xyz
'x,y,z'
'-x,-y,-z'
loop_
_atom_site_label
_atom_site_fract_x
_atom_site_fract_y
_atom_site_fract_z
Sr1 0.2168 0.4541 0.1221
Sr2 0.2178 0.9272 0.3545
Sr3 0.2672 0.9997 0.9363
Sr4 0.2727 0.3025 0.5313
Ru1 0.2819 0.6481 0.7435
N1 0.0207 0.8065 0.8802
N2 0.0432 0.6770 0.6083
N3 0.4519 0.8620 0.6928
N4 0.4621 0.3512 0.8326
```

Entry 8:
DFT (PBE-GGA) results for crystalline SrRu3N at its relaxed geometry.

Output
Polymorph energy (0 for the lowest one) ... 319.60 kJ per mole of atoms
ΔE_f (raw) ... 3696 meV per atom
Total moment ... 8.1 μB per cell

CIF file:
```
data_SrRu3N
_chemical_formula_sum 'Sr1 Ru3 N1'
_symmetry_space_group_name_H-M 'P m -3 m'
_symmetry_Int_Tables_number 221
_symmetry_space_group_name_Hall '-P 4 2 3'
_cell_length_a 5.0349
_cell_length_b 5.0349
_cell_length_c 5.0349
_cell_angle_alpha 90.00
_cell_angle_beta 90.00
_cell_angle_gamma 90.00
loop_
_atom_site_label
_atom_site_fract_x
_atom_site_fract_y
_atom_site_fract_z
Sr1 0.0000 0.0000 0.0000
Ru1 0.0000 0.0000 0.5000
N1 0.5000 0.5000 0.5000
```

Entry 9:
DFT (PBE-GGA) results for crystalline Sr2RuN3 at its relaxed geometry.

Output
ΔE_f (raw) ... -399 meV per atom
Total moment ... 0.0 μB per cell

CIF file:
```
data_Sr2RuN3
_chemical_formula_sum 'Sr16 Ru8 N24'
_symmetry_space_group_name_H-M 'C 1 2/c 1'
_symmetry_Int_Tables_number 15
_cell_length_a 5.5633
_cell_length_b 11.2411
_cell_length_c 12.5432
_cell_angle_alpha 90.00
_cell_angle_beta 94.24
_cell_angle_gamma 90.00
loop_
_symmetry_equiv_pos_as_xyz
'x,y,z'
'-x,-y,-z'
'-x,y,-z+1/2'
'x,-y,z+1/2'
'x+1/2,y+1/2,z'
'-x+1/2,-y+1/2,-z'
'-x+1/2,y+1/2,-z+1/2'
'x+1/2,-y+1/2,z+1/2'
loop_
_atom_site_label
_atom_site_fract_x
_atom_site_fract_y
_atom_site_fract_z
Sr1 0.2215 0.2018 0.3569
Sr2 0.2373 0.1072 0.9264
Ru1 0.2277 0.4967 0.8316
N1 0.0000 0.0016 0.2500
N2 0.0000 0.3942 0.2500
N3 0.1988 0.3363 0.8683
N4 0.2491 0.0948 0.5438
```

Entry 10:
DFT (PBE-GGA) results for crystalline Sr5Ru2N6 at its relaxed geometry.

Output
ΔE_f (raw) ... -462 meV per atom
Total moment ... 0.0 μB per cell

CIF file:
```
data_Sr5Ru2N6
_chemical_formula_sum 'Sr20 Ru8 N24'
_symmetry_space_group_name_H-M 'C 1 2/c 1'
_symmetry_Int_Tables_number 15
_cell_length_a 10.5182
_cell_length_b 6.8945
_cell_length_c 13.2751
_cell_angle_alpha 90.00
_cell_angle_beta 102.67
_cell_angle_gamma 90.00
loop_
_symmetry_equiv_pos_as_xyz
'x,y,z'
'-x,-y,-z'
'-x,y,-z+1/2'
'x,-y,z+1/2'
'x+1/2,y+1/2,z'
'-x+1/2,-y+1/2,-z'
'-x+1/2,y+1/2,-z+1/2'
'x+1/2,-y+1/2,z+1/2'
loop_
_atom_site_label
_atom_site_fract_x
_atom_site_fract_y
_atom_site_fract_z
Sr1 0.0000 0.1170 0.2500
Sr2 0.0630 0.2384 0.9985
Sr3 0.1588 0.3996 0.7180
Ru1 0.2307 0.3997 0.4416
N1 0.0554 0.4530 0.3759
N2 0.1471 0.0439 0.6424
N3 0.2083 0.0366 0.4208
```

Entry 11:
DFT (PBE-GGA) results for crystalline Sr3RuN3 at its relaxed geometry.

Output
Polymorph energy (0 for the lowest one) ... 0.73 kJ per mole of atoms
ΔE_f (raw) ... -541 meV per atom
Total moment ... 3.7 μB per cell

CIF file:
```
data_Sr3RuN3
_chemical_formula_sum 'Sr6 Ru2 N6'
_symmetry_space_group_name_H-M 'P 63/m'
_symmetry_Int_Tables_number 176
_symmetry_space_group_name_Hall '-P 6c'
_cell_length_a 7.8022
_cell_length_b 7.8022
_cell_length_c 5.3319
_cell_angle_alpha 90.00
_cell_angle_beta 90.00
_cell_angle_gamma 120.00
loop_
_atom_site_label
_atom_site_fract_x
_atom_site_fract_y
_atom_site_fract_z
Sr1 0.0930 0.3592 0.2500
Ru1 0.3333 0.6667 0.7500
N1 0.1082 0.4143 0.7500
```

Entry 12:
DFT (PBE-GGA) results for crystalline SrRuN at its relaxed geometry.

Output
ΔE_f (raw) ... -114 meV per atom
Total moment ... 0.0 μB per cell

CIF file:
```
data_SrRuN
_chemical_formula_sum 'Sr4 Ru4 N4'
_symmetry_space_group_name_H-M 'P n m a'
_symmetry_Int_Tables_number 62
_cell_length_a 7.2910
_cell_length_b 3.3481
_cell_length_c 9.2581
_cell_angle_alpha 90.00
_cell_angle_beta 90.00
_cell_angle_gamma 90.00
loop_
_symmetry_equiv_pos_as_xyz
'x,y,z'
'-x,-y,-z'
'-x+1/2,-y,z+1/2'
'x+1/2,y,-z+1/2'
'x+1/2,-y+1/2,-z+1/2'
'-x+1/2,y+1/2,z+1/2'
'-x,y+1/2,-z'
'x,-y+1/2,z'
loop_
_atom_site_label
_atom_site_fract_x
_atom_site_fract_y
_atom_site_fract_z
Sr1 0.0033 0.2500 0.1920
Ru1 0.1666 0.2500 0.5073
N1 0.2310 0.2500 0.9591
```